[1]
# Li2PrCu4 | the Alexandria database | PBE | optimized geometry
data_Li2PrCu4
_chemical_formula_sum 'Li2 Pr1 Cu4'
_cell_length_a 5.360
_cell_length_b 5.360
_cell_length_c 4.904
_cell_angle_alpha 116.77
_cell_angle_beta 116.77
_cell_angle_gamma 78.57
_space_group_name_H-M_alt 'P 1'
_space_group_IT_number 1
_space_group_name_Hall 'P 1'
loop_
_atom_site_label
_atom_site_fract_x
_atom_site_fract_y
_atom_site_fract_z
Li1 0.001 0.001 0.251
Li2 0.999 0.999 0.749
Pr1 0.500 0.500 0.500
Cu1 0.120 0.500 0.811
Cu2 0.500 0.120 0.811
Cu3 0.500 0.880 0.189
Cu4 0.880 0.500 0.189
# SG: C2/m
# DFT total energy (eV per atom): -3.687

[2]
# Li6PrCu2 | the Alexandria database | PBE | optimized geometry
data_Li6PrCu2
_chemical_formula_sum 'Li6 Pr1 Cu2'
_cell_length_a 3.986
_cell_length_b 3.986
_cell_length_c 10.873
_cell_angle_alpha 90.00
_cell_angle_beta 90.00
_cell_angle_gamma 90.00
_space_group_name_H-M_alt 'P 1'
_space_group_IT_number 1
_space_group_name_Hall 'P 1'
loop_
_atom_site_label
_atom_site_fract_x
_atom_site_fract_y
_atom_site_fract_z
Li1 0.000 0.000 0.000
Li2 0.000 0.500 0.220
Li3 0.000 0.500 0.780
Li4 0.500 0.000 0.220
Li5 0.500 0.000 0.780
Li6 0.500 0.500 0.000
Pr1 0.000 0.000 0.500
Cu1 0.500 0.500 0.384
Cu2 0.500 0.500 0.616
# SG: P4/mmm
# DFT total energy (eV per atom): -2.762

[3]
# LiPr6Cu5 | the Alexandria database | PBE | optimized geometry
data_LiPr6Cu5
_chemical_formula_sum 'Li1 Pr6 Cu5'
_cell_length_a 5.148
_cell_length_b 7.275
_cell_length_c 8.168
_cell_angle_alpha 90.00
_cell_angle_beta 108.14
_cell_angle_gamma 90.00
_space_group_name_H-M_alt 'P 1'
_space_group_IT_number 1
_space_group_name_Hall 'P 1'
loop_
_atom_site_label
_atom_site_fract_x
_atom_site_fract_y
_atom_site_fract_z
Li1 0.000 0.000 0.000
Pr1 0.172 0.253 0.343
Pr2 0.172 0.747 0.343
Pr3 0.500 0.262 0.000
Pr4 0.500 0.738 0.000
Pr5 0.828 0.253 0.657
Pr6 0.828 0.747 0.657
Cu1 0.000 0.500 0.000
Cu2 0.332 0.500 0.667
Cu3 0.343 0.000 0.693
Cu4 0.657 0.000 0.307
Cu5 0.668 0.500 0.333
# SG: P2/m
# DFT total energy (eV per atom): -4.337

[4]
# LiPr2Cu3 | the Alexandria database | PBE | optimized geometry
data_LiPr2Cu3
_chemical_formula_sum 'Li2 Pr4 Cu6'
_cell_length_a 8.774
_cell_length_b 8.437
_cell_length_c 5.790
_cell_angle_alpha 73.52
_cell_angle_beta 67.23
_cell_angle_gamma 39.25
_space_group_name_H-M_alt 'P 1'
_space_group_IT_number 1
_space_group_name_Hall 'P 1'
loop_
_atom_site_label
_atom_site_fract_x
_atom_site_fract_y
_atom_site_fract_z
Li1 0.168 0.168 0.832
Li2 0.832 0.832 0.168
Pr1 0.250 0.250 0.250
Pr2 0.253 0.747 0.747
Pr3 0.747 0.253 0.253
Pr4 0.750 0.750 0.750
Cu1 0.168 0.666 0.334
Cu2 0.334 0.832 0.168
Cu3 0.335 0.335 0.665
Cu4 0.665 0.665 0.335
Cu5 0.666 0.168 0.832
Cu6 0.832 0.334 0.666
# SG: Fmmm
# DFT total energy (eV per atom): -4.064

[5]
# LiPrCu | the Alexandria database | PBE | optimized geometry
data_LiPrCu
_chemical_formula_sum 'Li1 Pr1 Cu1'
_cell_length_a 4.746
_cell_length_b 4.746
_cell_length_c 4.746
_cell_angle_alpha 60.00
_cell_angle_beta 60.00
_cell_angle_gamma 60.00
_space_group_name_H-M_alt 'P 1'
_space_group_IT_number 1
_space_group_name_Hall 'P 1'
loop_
_atom_site_label
_atom_site_fract_x
_atom_site_fract_y
_atom_site_fract_z
Li1 0.000 0.000 0.000
Pr1 0.500 0.500 0.500
Cu1 0.750 0.750 0.750
# SG: F-43m
# DFT total energy (eV per atom): -3.496
# Energy above the lowest structure with this stoichiometry (eV per atom): 0.161

[6]
# LiPr2Cu9 | the Alexandria database | PBE | optimized geometry
data_LiPr2Cu9
_chemical_formula_sum 'Li1 Pr2 Cu9'
_cell_length_a 8.913
_cell_length_b 8.913
_cell_length_c 8.913
_cell_angle_alpha 33.71
_cell_angle_beta 33.71
_cell_angle_gamma 33.71
_space_group_name_H-M_alt 'P 1'
_space_group_IT_number 1
_space_group_name_Hall 'P 1'
loop_
_atom_site_label
_atom_site_fract_x
_atom_site_fract_y
_atom_site_fract_z
Li1 0.000 0.000 0.000
Pr1 0.135 0.135 0.135
Pr2 0.865 0.865 0.865
Cu1 0.079 0.579 0.579
Cu2 0.333 0.333 0.333
Cu3 0.421 0.421 0.921
Cu4 0.421 0.921 0.421
Cu5 0.500 0.500 0.500
Cu6 0.579 0.079 0.579
Cu7 0.579 0.579 0.079
Cu8 0.667 0.667 0.667
Cu9 0.921 0.421 0.421
# SG: R-3m
# DFT total energy (eV per atom): -4.075

How do the records compare in total magnetization? In the order shown, they have 0.0 0.0 0.0 0.0 0.0 0.0 μB/f.u..